[1]
! ScIn3S | the Alexandria database | PBE | relaxed; values from VASP
! * ΔE to the lowest computed polymorph: 359 meV per atom
! * DOS at the Fermi energy: 1.244 states/eV/atom
! * space group: Pm-3m, No. 221
! * formation energy from raw total energies: 3.318 eV/f.u.
&SYSTEM
  ibrav = 0, nat = 5, ntyp = 3
/
ATOMIC_SPECIES
Sc 44.96 Sc.upf
In 114.82 In.upf
S 32.06 S.upf
ATOMIC_POSITIONS crystal
Sc 0.000 0.000 0.000
In 0.000 0.000 0.500
In 0.000 0.500 0.000
In 0.500 0.000 0.000
S 0.500 0.500 0.500
CELL_PARAMETERS angstrom
5.645 0.000 0.000
0.000 5.645 0.000
0.000 0.000 5.645


[2]
! Sc2InS4 | the Alexandria database | PBE | relaxed; values from VASP
! * ΔE to the lowest computed polymorph: 675 meV per atom
! * DOS at the Fermi energy: 0.267 states/eV/atom
! * space group: I4/mmm, No. 139
! * formation energy from raw total energies: -5.575 eV/f.u.
&SYSTEM
  ibrav = 0, nat = 14, ntyp = 3
/
ATOMIC_SPECIES
Sc 44.96 Sc.upf
In 114.82 In.upf
S 32.06 S.upf
ATOMIC_POSITIONS crystal
Sc 0.000 0.000 0.123
Sc 0.000 0.000 0.877
Sc 0.500 0.500 0.377
Sc 0.500 0.500 0.623
In 0.000 0.000 0.500
In 0.500 0.500 0.000
S 0.000 0.000 0.298
S 0.000 0.000 0.702
S 0.000 0.500 0.000
S 0.000 0.500 0.500
S 0.500 0.000 0.000
S 0.500 0.000 0.500
S 0.500 0.500 0.202
S 0.500 0.500 0.798
CELL_PARAMETERS angstrom
5.048 0.000 0.000
0.000 5.048 0.000
0.000 0.000 12.996


[3]
! Sc3InS6 | the Alexandria database | PBE | relaxed; values from VASP
! * ΔE to the lowest computed polymorph: 47 meV per atom
! * DOS at the Fermi energy: 0.000 states/eV/atom
! * space group: Cmc2_1, No. 36
! * formation energy from raw total energies: -14.769 eV/f.u.
&SYSTEM
  ibrav = 0, nat = 20, ntyp = 3
/
ATOMIC_SPECIES
Sc 44.96 Sc.upf
In 114.82 In.upf
S 32.06 S.upf
ATOMIC_POSITIONS crystal
Sc 0.092 0.908 0.500
Sc 0.217 0.409 0.596
Sc 0.409 0.217 0.096
Sc 0.591 0.783 0.596
Sc 0.783 0.591 0.096
Sc 0.908 0.092 0.000
In 0.295 0.705 0.110
In 0.705 0.295 0.610
S 0.043 0.603 0.332
S 0.128 0.198 0.296
S 0.198 0.128 0.796
S 0.281 0.719 0.728
S 0.397 0.957 0.332
S 0.468 0.532 0.294
S 0.532 0.468 0.794
S 0.603 0.043 0.832
S 0.719 0.281 0.228
S 0.802 0.872 0.296
S 0.872 0.802 0.796
S 0.957 0.397 0.832
CELL_PARAMETERS angstrom
5.097 -6.424 0.000
5.097 6.424 0.000
0.000 0.000 6.347


[4]
! ScInS2 | the Alexandria database | PBE | relaxed; values from VASP
! * DOS at the Fermi energy: 0.007 states/eV/atom
! * space group: R3m, No. 160
! * formation energy from raw total energies: -5.176 eV/f.u.
&SYSTEM
  ibrav = 0, nat = 12, ntyp = 3
/
ATOMIC_SPECIES
Sc 44.96 Sc.upf
In 114.82 In.upf
S 32.06 S.upf
ATOMIC_POSITIONS crystal
Sc 0.000 0.000 0.000
Sc 0.333 0.667 0.667
Sc 0.667 0.333 0.333
In 0.000 0.000 0.831
In 0.333 0.667 0.498
In 0.667 0.333 0.164
S 0.000 0.000 0.398
S 0.000 0.000 0.603
S 0.333 0.667 0.064
S 0.333 0.667 0.270
S 0.667 0.333 0.731
S 0.667 0.333 0.936
CELL_PARAMETERS angstrom
3.741 0.000 0.000
-1.871 3.240 0.000
0.000 0.000 22.623


[5]
! ScIn3S | the Alexandria database | PBE | relaxed; values from VASP
! * ΔE to the lowest computed polymorph: 0 meV per atom
! * DOS at the Fermi energy: 1.444 states/eV/atom
! * space group: Pm-3m, No. 221
! * formation energy from raw total energies: 1.525 eV/f.u.
&SYSTEM
  ibrav = 0, nat = 5, ntyp = 3
/
ATOMIC_SPECIES
Sc 44.96 Sc.upf
In 114.82 In.upf
S 32.06 S.upf
ATOMIC_POSITIONS crystal
Sc 0.000 0.000 0.000
In 0.000 0.500 0.500
In 0.500 0.000 0.500
In 0.500 0.500 0.000
S 0.500 0.500 0.500
CELL_PARAMETERS angstrom
5.229 0.000 0.000
0.000 5.229 0.000
0.000 0.000 5.229


[6]
! Sr2ScInS5 | the Alexandria database | PBE | relaxed; values from VASP
! * DOS at the Fermi energy: 0.000 states/eV/atom
! * space group: Cmc2_1, No. 36
! * formation energy from raw total energies: -14.795 eV/f.u.
&SYSTEM
  ibrav = 0, nat = 18, ntyp = 4
/
ATOMIC_SPECIES
Sr 87.62 Sr.upf
Sc 44.96 Sc.upf
In 114.82 In.upf
S 32.06 S.upf
ATOMIC_POSITIONS crystal
Sr 0.113 0.887 0.500
Sr 0.137 0.863 0.132
Sr 0.863 0.137 0.632
Sr 0.887 0.113 0.000
Sc 0.217 0.783 0.845
Sc 0.783 0.217 0.345
In 0.450 0.550 0.268
In 0.550 0.450 0.768
S 0.057 0.943 0.884
S 0.284 0.716 0.480
S 0.308 0.692 0.203
S 0.360 0.640 0.822
S 0.495 0.505 0.592
S 0.505 0.495 0.092
S 0.640 0.360 0.322
S 0.692 0.308 0.703
S 0.716 0.284 0.980
S 0.943 0.057 0.384
CELL_PARAMETERS angstrom
1.986 -8.653 0.000
1.986 8.653 0.000
0.000 0.000 12.586


| no. | volume (A^3/atom) |
| --- | --- |
| 1 | 35.980 |
| 2 | 23.657 |
| 3 | 20.785 |
| 4 | 22.850 |
| 5 | 28.601 |
| 6 | 24.036 |